Entry 1:
Computed, not measured: a relaxed structure of ThCdFe at the PBE level of DFT.

a b c (Å): 8.8736 8.8736 3.9209
angles (deg): 90.00 90.00 154.28
Last column: nearest neighbours and their distance in Å.
Element x y z (fractional)
Th 0.0913 0.9087 0.7500  6 Fe 2.92-3.00
Th 0.9087 0.0913 0.2500  6 Fe 2.92-3.00
Cd 0.2929 0.7071 0.7500  1 Fe 2.90, 4 Cd 3.15
Cd 0.7071 0.2929 0.2500  1 Fe 2.90, 4 Cd 3.15
Fe 0.4604 0.5396 0.7500  2 Fe 2.39
Fe 0.5396 0.4604 0.2500  2 Fe 2.39

Computed properties:
Space-group type: Cmcm
Energy of formation (eV per atom): -0.1334
E (eV/atom): -5.733


Entry 2:
Computed, not measured: a relaxed structure of ThHgSe at the PBE level of DFT.

a b c (Å): 9.2657 9.2657 9.2657
angles (deg): 153.70 153.70 37.53
Last column: nearest neighbours and their distance in Å.
Element x y z (fractional)
Th 0.1516 0.1516 0.0000  5 Se 2.99-3.02
Th 0.8484 0.8484 0.0000  5 Se 2.99-3.02
Hg 0.0000 0.5000 0.5000  4 Hg 2.98
Hg 0.5000 0.0000 0.5000  4 Hg 2.98
Se 0.3223 0.3223 0.0000  5 Th 2.99-3.02
Se 0.6777 0.6777 0.0000  5 Th 2.99-3.02

Computed properties:
Space-group type: I4/mmm
Raw formation energy (kcal/mol of atoms): -23.00
Offset from the most stable computed form (meV/atom): 0.0
E (eV/atom): -4.733


Entry 3:
Computed, not measured: a relaxed structure of K3Ce3PaTe8 at the PBE level of DFT.

a b c (Å): 9.8991 9.8991 9.8991
angles (deg): 55.30 55.30 55.30
Last column: nearest neighbours and their distance in Å.
Element x y z (fractional)
K 0.0000 0.5000 0.5000  6 Te 3.57-3.58
K 0.5000 0.0000 0.5000  6 Te 3.57-3.58
K 0.5000 0.5000 0.0000  6 Te 3.57-3.58
Ce 0.0000 0.0000 0.5000  6 Te 3.20
Ce 0.0000 0.5000 0.0000  6 Te 3.20
Ce 0.5000 0.0000 0.0000  6 Te 3.20
Pa 0.5000 0.5000 0.5000  6 Te 3.11
Te 0.2381 0.2381 0.2381  3 Ce 3.20, 3 K 3.57
Te 0.2456 0.7310 0.7310  1 Pa 3.11, 2 Ce 3.20
Te 0.2690 0.2690 0.7544  1 Pa 3.11, 2 Ce 3.20
Te 0.2690 0.7544 0.2690  1 Pa 3.11, 2 Ce 3.20
Te 0.7310 0.2456 0.7310  1 Pa 3.11, 2 Ce 3.20
Te 0.7310 0.7310 0.2456  1 Pa 3.11, 2 Ce 3.20
Te 0.7544 0.2690 0.2690  1 Pa 3.11, 2 Ce 3.20
Te 0.7619 0.7619 0.7619  3 Ce 3.20, 3 K 3.57

Computed properties:
Space-group type: R-3m
Raw formation energy (kcal/mol of atoms): -28.47
E (eV/atom): -4.949


Entry 4:
Computed, not measured: a relaxed structure of CsMg3V at the PBE level of DFT.

a b c (Å): 6.5263 6.5263 6.5263
angles (deg): 90.00 90.00 90.00
Last column: nearest neighbours and their distance in Å.
Element x y z (fractional)
Cs 0.0000 0.0000 0.0000  6 Mg 3.26
Mg 0.0000 0.0000 0.5000  2 Cs 3.26
Mg 0.0000 0.5000 0.0000  2 Cs 3.26
Mg 0.5000 0.0000 0.0000  2 Cs 3.26
V 0.5000 0.5000 0.5000  12 Mg 4.61

Computed properties:
Space-group type: Pm-3m
Offset from the most stable computed form (meV/atom): 1446.3
Energy of formation (eV per atom): 2.0505
E (eV/atom): -0.901


Entry 5:
Computed, not measured: a relaxed structure of KC2 at the PBE level of DFT.

a b c (Å): 4.4617 4.4617 9.6263
angles (deg): 108.57 108.57 35.33
Last column: nearest neighbours and their distance in Å.
Element x y z (fractional)
K 0.1059 0.1059 0.2739  2 K 2.71, 3 C 2.76-2.78
K 0.8941 0.8941 0.7261  2 K 2.71, 3 C 2.76-2.78
C 0.2510 0.2510 0.0000  2 C 1.35
C 0.4421 0.4421 0.4371  1 C 1.28
C 0.5579 0.5579 0.5629  1 C 1.28
C 0.7490 0.7490 0.0000  2 C 1.35

Computed properties:
Space-group type: C2/m
Offset from the most stable computed form (meV/atom): 353.5
Energy of formation (eV per atom): 0.8580
E (eV/atom): -5.657


Entry 6:
Computed, not measured: a relaxed structure of RbLaIn2Cl6 at the PBE level of DFT.

a b c (Å): 7.9849 7.9912 8.2368
angles (deg): 61.02 61.02 60.03
Last column: nearest neighbours and their distance in Å.
Element x y z (fractional)
Rb 0.0000 0.0000 0.0000  6 Cl 3.27-3.39
La 0.4900 0.4902 0.5296  6 Cl 2.79-2.83
In 0.2866 0.2870 0.1399  6 Cl 3.14-3.34
In 0.7914 0.7916 0.6256  6 Cl 3.19-3.26
Cl 0.1310 0.4014 0.8018  1 La 2.83, 1 In 3.14
Cl 0.2330 0.8346 0.3284  1 La 2.79
Cl 0.4010 0.6652 0.8023  1 La 2.83, 1 In 3.14
Cl 0.6041 0.2334 0.3278  1 La 2.79
Cl 0.6649 0.1316 0.8022  1 La 2.83, 1 In 3.14
Cl 0.8345 0.6044 0.3283  1 La 2.79

Computed properties:
Space-group type: P1
Raw formation energy (kcal/mol of atoms): -38.91
E (eV/atom): -3.932